1.
DFT (GGA-PBEsol) results for a geometry-optimized YCoSi4 structure.

Unit cell a=5.049 b=5.049 c=5.049 alpha=60.00 beta=60.00 gamma=60.00
Fractional positions:
Si  0.373  0.373  0.373
Si  0.373  0.373  0.881
Si  0.373  0.881  0.373
Si  0.881  0.373  0.373
Co  0.000  0.000  0.000
Y  0.750  0.750  0.750

## Properties
E: -37.4 eV per cell
space group: F-43m, No. 216
formation energy from raw total energies: 20 meV/atom
volume: 15.17 Å³ per atom

2.
DFT (GGA-PBEsol) results for a geometry-optimized Y2CoSi structure.

Unit cell a=3.225 b=5.319 c=9.844 alpha=90.00 beta=99.43 gamma=90.00
Fractional positions:
Co  0.948  0.250  0.895
Co  0.052  0.750  0.105
Y  0.557  0.250  0.114
Y  0.334  0.250  0.668
Y  0.666  0.750  0.332
Y  0.443  0.750  0.886
Si  0.708  0.250  0.416
Si  0.292  0.750  0.584

## Properties
E: -54.4 eV per cell
space group: Cmcm, No. 63
formation energy from raw total energies: -23 meV/atom
volume: 20.82 Å³ per atom

3.
DFT (GGA-PBEsol) results for a geometry-optimized YCo2Si2 structure.

Unit cell a=3.832 b=3.832 c=5.541 alpha=110.23 beta=110.23 gamma=90.00
Fractional positions:
Co  0.250  0.750  0.500
Co  0.750  0.250  0.500
Y  0.000  0.000  0.000
Si  0.371  0.371  0.743
Si  0.629  0.629  0.257

## Properties
E: -38.3 eV per cell
space group: I4/mmm, No. 139
formation energy from raw total energies: -903 meV/atom
volume: 14.19 Å³ per atom

4.
DFT (GGA-PBEsol) results for a geometry-optimized ZnCoSi2 structure.

Unit cell a=4.133 b=4.133 c=4.133 alpha=60.00 beta=60.00 gamma=60.00
Fractional positions:
Si  0.750  0.750  0.750
Si  0.000  0.000  0.000
Zn  0.250  0.250  0.250
Co  0.500  0.500  0.500

## Properties
E: -20.0 eV per cell
space group: F-43m, No. 216
formation energy from raw total energies: 215 meV/atom
volume: 12.48 Å³ per atom

5.
DFT (GGA-PBEsol) results for a geometry-optimized ZnCo4Si structure.

Unit cell a=4.596 b=4.596 c=4.596 alpha=60.00 beta=60.00 gamma=60.00
Fractional positions:
Co  0.874  0.375  0.375
Co  0.375  0.375  0.375
Co  0.375  0.874  0.375
Co  0.375  0.375  0.874
Si  0.750  0.750  0.750
Zn  0.000  0.000  0.000

## Properties
E: -37.5 eV per cell
space group: F-43m, No. 216
formation energy from raw total energies: 132 meV/atom
volume: 11.44 Å³ per atom

6.
DFT (GGA-PBEsol) results for a geometry-optimized ZnCoSi2 structure.

Unit cell a=2.773 b=2.773 c=7.825 alpha=79.79 beta=79.79 gamma=60.00
Fractional positions:
Co  0.256  0.256  0.231
Zn  0.506  0.506  0.483
Si  0.992  0.992  0.025
Si  0.746  0.746  0.761

## Properties
E: -20.8 eV per cell
space group: R3m, No. 160
formation energy from raw total energies: 16 meV/atom
volume: 12.75 Å³ per atom

7.
DFT (GGA-PBEsol) results for a geometry-optimized ZrCoSi2 structure.

Unit cell a=3.787 b=3.787 c=5.070 alpha=68.07 beta=68.07 gamma=60.00
Fractional positions:
Co  0.500  0.500  0.500
Si  0.214  0.214  0.359
Si  0.786  0.786  0.641
Zr  0.000  0.000  0.000

## Properties
E: -31.6 eV per cell
space group: R-3m, No. 166
formation energy from raw total energies: -816 meV/atom
volume: 14.20 Å³ per atom

8.
DFT (GGA-PBEsol) results for a geometry-optimized ZrCo2Si2 structure.

Unit cell a=3.704 b=3.704 c=5.455 alpha=109.85 beta=109.85 gamma=90.00
Fractional positions:
Co  0.750  0.250  0.500
Co  0.250  0.750  0.500
Si  0.622  0.622  0.244
Si  0.378  0.378  0.756
Zr  0.000  0.000  0.000

## Properties
E: -40.5 eV per cell
space group: I4/mmm, No. 139
formation energy from raw total energies: -889 meV/atom
volume: 13.13 Å³ per atom

9.
DFT (GGA-PBEsol) results for a geometry-optimized ZrCoSi2 structure.

Unit cell a=3.616 b=3.711 c=5.026 alpha=111.67 beta=111.09 gamma=90.00
Fractional positions:
Co  0.727  0.227  0.454
Si  0.243  0.743  0.487
Si  0.050  0.050  0.099
Zr  0.480  0.480  0.960

## Properties
E: -30.2 eV per cell
space group: Imm2, No. 44
formation energy from raw total energies: -464 meV/atom
volume: 14.45 Å³ per atom

10.
DFT (GGA-PBEsol) results for a geometry-optimized Zr4Co4Si7 structure.

Unit cell a=5.021 b=9.404 c=9.404 alpha=85.91 beta=74.52 gamma=74.52
Fractional positions:
Co  0.898  0.500  0.205
Co  0.602  0.795  0.500
Co  0.898  0.205  0.500
Co  0.102  0.795  0.500
Co  0.398  0.500  0.205
Co  0.102  0.500  0.795
Co  0.602  0.500  0.795
Co  0.398  0.205  0.500
Si  0.500  0.592  0.408
Si  0.303  0.697  0.697
Si  0.289  0.422  0.000
Si  0.697  0.303  0.303
Si  0.289  0.000  0.422
Si  0.711  0.000  0.578
Si  0.500  0.408  0.592
Si  0.711  0.578  0.000
Si  0.251  0.000  0.000
Si  0.749  0.000  0.000
Si  0.092  0.408  0.408
Si  0.000  0.697  0.303
Si  0.000  0.303  0.697
Si  0.908  0.592  0.592
Zr  0.862  0.275  0.000
Zr  0.500  0.803  0.197
Zr  0.697  0.803  0.803
Zr  0.303  0.197  0.197
Zr  0.500  0.197  0.803
Zr  0.862  0.000  0.275
Zr  0.138  0.000  0.725
Zr  0.138  0.725  0.000

## Properties
E: -242.8 eV per cell
space group: I4/mmm, No. 139
formation energy from raw total energies: -926 meV/atom
volume: 13.75 Å³ per atom

11.
DFT (GGA-PBEsol) results for a geometry-optimized ZrCoSi2 structure.

Unit cell a=4.318 b=4.318 c=4.318 alpha=60.00 beta=60.00 gamma=60.00
Fractional positions:
Si  0.250  0.250  0.250
Si  0.750  0.750  0.750
Zr  0.500  0.500  0.500
Co  0.000  0.000  0.000

## Properties
E: -29.0 eV per cell
space group: Fm-3m, No. 225
formation energy from raw total energies: -182 meV/atom
volume: 14.23 Å³ per atom

12.
DFT (GGA-PBEsol) results for a geometry-optimized ZrCo2Si structure.

Unit cell a=2.773 b=2.773 c=6.565 alpha=90.00 beta=90.00 gamma=90.00
Fractional positions:
Si  0.500  0.500  0.000
Co  0.000  0.000  0.801
Co  0.000  0.000  0.199
Zr  0.500  0.500  0.500

## Properties
E: -32.3 eV per cell
space group: P4/mmm, No. 123
formation energy from raw total energies: -499 meV/atom
volume: 12.62 Å³ per atom